[1]
BPbC | PBE | relaxed

Lattice parameters (Å, degrees): 4.336 3.895 2.944 90.00 90.00 90.00
Atoms (fractional coordinates):
Pb 0.500 0.500 0.000
C 0.000 0.000 0.000
B 0.000 0.000 0.500

Output
Formation energy from the elements: 611 meV/atom
Space group: No. 47
Energy above the most stable polymorph in this dataset: 0 meV per atom
Crystal system: orthorhombic
DOS(E_F): 0.6 states/eV/f.u.

=====

[2]
ReBPbC2 | PBE | relaxed

Lattice parameters (Å, degrees): 4.262 4.369 4.262 90.00 90.00 90.00
Atoms (fractional coordinates):
Pb 0.000 0.000 0.000
Re 0.500 0.500 0.500
C 0.000 0.000 0.500
C 0.500 0.000 0.000
B 0.000 0.500 0.000

Output
Formation energy from the elements: 3865 meV/atom
Space group: No. 123
Crystal system: tetragonal
DOS(E_F): 5.8 states/eV/f.u.

=====

[3]
BSb2PbC | PBE | relaxed

Lattice parameters (Å, degrees): 5.980 3.008 5.980 90.00 90.00 90.00
Atoms (fractional coordinates):
Pb 0.500 0.500 0.500
Sb 0.000 0.000 0.500
Sb 0.500 0.000 0.000
C 0.000 0.000 0.000
B 0.000 0.500 0.000

Output
Space group: No. 123
Formation energy without anion corrections: 0.64 eV per atom
Crystal system: tetragonal
DOS(E_F): 2.1 states/eV/f.u.

=====

[4]
Sn2BPbC | PBE | relaxed

Lattice parameters (Å, degrees): 4.655 5.008 4.655 90.00 90.00 90.00
Atoms (fractional coordinates):
Pb 0.000 0.500 0.000
C 0.500 0.500 0.500
B 0.000 0.000 0.000
Sn 0.000 0.000 0.500
Sn 0.500 0.000 0.000

Output
Formation energy from the elements: 1680 meV/atom
Space group: No. 123
Crystal system: tetragonal
DOS(E_F): 2.3 states/eV/f.u.

=====

Q: DOS(E_F) of number 4 (Sn2BPbC)?
A: 2.3 states/eV/f.u.